1.
DFT (GGA-PBE) results for a relaxed Tl2ReAs crystal.

Computed properties:
Formation energy from the elements (eV/atom): 1.036
Density of states at the Fermi level (states/eV per cell): 3.63
DFT total energy (eV/atom): -4.4217
Space-group type: P4/mmm (123)
Excess energy over the best structure of this formula in the dataset (eV per atom): 0.719

a = 3.667 Å, b = 3.667 Å, c = 6.147 Å
α = 90.00°, β = 90.00°, γ = 90.00°
Atoms (fractional coordinates):
Tl  0.000  0.000  0.242
Tl  0.000  0.000  0.758
Re  0.500  0.500  0.000
As  0.500  0.500  0.500


2.
DFT (GGA-PBE) results for a relaxed Tl2ReAs crystal.

Computed properties:
Formation energy from the elements (eV/atom): 1.094
Density of states at the Fermi level (states/eV per cell): 17.84
DFT total energy (eV/atom): -4.3637
Space-group type: F-43m (216)
Excess energy over the best structure of this formula in the dataset (eV per atom): 0.777

a = 7.019 Å, b = 7.019 Å, c = 7.019 Å
α = 90.00°, β = 90.00°, γ = 90.00°
Atoms (fractional coordinates):
Tl  0.000  0.000  0.000
Tl  0.000  0.500  0.500
Tl  0.250  0.250  0.250
Tl  0.250  0.750  0.750
Tl  0.500  0.000  0.500
Tl  0.500  0.500  0.000
Tl  0.750  0.250  0.750
Tl  0.750  0.750  0.250
Re  0.250  0.250  0.750
Re  0.250  0.750  0.250
Re  0.750  0.250  0.250
Re  0.750  0.750  0.750
As  0.000  0.000  0.500
As  0.000  0.500  0.000
As  0.500  0.000  0.000
As  0.500  0.500  0.500


3.
DFT (GGA-PBE) results for a relaxed TlReAs2 crystal.

Computed properties:
Formation energy from the elements (eV/atom): 0.791
Density of states at the Fermi level (states/eV per cell): 17.06
DFT total energy (eV/atom): -5.2378
Space-group type: Fm-3m (225)
Excess energy over the best structure of this formula in the dataset (eV per atom): 0.726

a = 6.676 Å, b = 6.676 Å, c = 6.676 Å
α = 90.00°, β = 90.00°, γ = 90.00°
Atoms (fractional coordinates):
Tl  0.000  0.000  0.000
Tl  0.000  0.500  0.500
Tl  0.500  0.000  0.500
Tl  0.500  0.500  0.000
Re  0.000  0.000  0.500
Re  0.000  0.500  0.000
Re  0.500  0.000  0.000
Re  0.500  0.500  0.500
As  0.250  0.250  0.250
As  0.250  0.250  0.750
As  0.250  0.750  0.250
As  0.250  0.750  0.750
As  0.750  0.250  0.250
As  0.750  0.250  0.750
As  0.750  0.750  0.250
As  0.750  0.750  0.750


4.
DFT (GGA-PBE) results for a relaxed TlRe2As crystal.

Computed properties:
Formation energy from the elements (eV/atom): 0.914
Density of states at the Fermi level (states/eV per cell): 10.72
DFT total energy (eV/atom): -7.0639
Space-group type: I-42d (122)
Excess energy over the best structure of this formula in the dataset (eV per atom): 0.586

a = 4.227 Å, b = 4.227 Å, c = 18.143 Å
α = 90.00°, β = 90.00°, γ = 90.00°
Atoms (fractional coordinates):
Tl  0.000  0.000  0.000
Tl  0.000  0.500  0.250
Tl  0.500  0.000  0.750
Tl  0.500  0.500  0.500
Re  0.153  0.250  0.625
Re  0.250  0.653  0.875
Re  0.250  0.847  0.375
Re  0.347  0.250  0.125
Re  0.653  0.750  0.125
Re  0.750  0.153  0.375
Re  0.750  0.347  0.875
Re  0.847  0.750  0.625
As  0.000  0.000  0.500
As  0.000  0.500  0.750
As  0.500  0.000  0.250
As  0.500  0.500  0.000


5.
DFT (GGA-PBE) results for a relaxed TlReAs2 crystal.

Computed properties:
Formation energy from the elements (eV/atom): 0.341
Density of states at the Fermi level (states/eV per cell): 2.11
DFT total energy (eV/atom): -5.6869
Space-group type: Pm (6)
Excess energy over the best structure of this formula in the dataset (eV per atom): 0.277

a = 3.264 Å, b = 3.996 Å, c = 8.020 Å
α = 90.00°, β = 99.53°, γ = 90.00°
Atoms (fractional coordinates):
Tl  0.000  0.000  0.000
Re  0.181  0.500  0.472
As  0.351  0.000  0.629
As  0.587  0.500  0.246


6.
DFT (GGA-PBE) results for a relaxed TlReAs3 crystal.

Computed properties:
Formation energy from the elements (eV/atom): 0.460
Density of states at the Fermi level (states/eV per cell): 4.35
DFT total energy (eV/atom): -5.2928
Space-group type: Pm-3m (221)
Excess energy over the best structure of this formula in the dataset (eV per atom): 0.000

a = 4.925 Å, b = 4.925 Å, c = 4.925 Å
α = 90.00°, β = 90.00°, γ = 90.00°
Atoms (fractional coordinates):
Tl  0.000  0.000  0.000
Re  0.500  0.500  0.500
As  0.000  0.500  0.500
As  0.500  0.000  0.500
As  0.500  0.500  0.000


7.
DFT (GGA-PBE) results for a relaxed TlReAs2 crystal.

Computed properties:
Formation energy from the elements (eV/atom): 0.366
Density of states at the Fermi level (states/eV per cell): 5.18
DFT total energy (eV/atom): -5.6624
Space-group type: I-42d (122)
Excess energy over the best structure of this formula in the dataset (eV per atom): 0.301

a = 6.307 Å, b = 6.307 Å, c = 11.798 Å
α = 90.00°, β = 90.00°, γ = 90.00°
Atoms (fractional coordinates):
Tl  0.000  0.000  0.000
Tl  0.000  0.500  0.250
Tl  0.500  0.000  0.750
Tl  0.500  0.500  0.500
Re  0.000  0.000  0.500
Re  0.000  0.500  0.750
Re  0.500  0.000  0.250
Re  0.500  0.500  0.000
As  0.151  0.250  0.625
As  0.250  0.651  0.875
As  0.250  0.849  0.375
As  0.349  0.250  0.125
As  0.651  0.750  0.125
As  0.750  0.151  0.375
As  0.750  0.349  0.875
As  0.849  0.750  0.625


8.
DFT (GGA-PBE) results for a relaxed TlRe2As crystal.

Computed properties:
Formation energy from the elements (eV/atom): 0.619
Density of states at the Fermi level (states/eV per cell): 6.02
DFT total energy (eV/atom): -7.3585
Space-group type: Cm (8)
Excess energy over the best structure of this formula in the dataset (eV per atom): 0.291

a = 8.245 Å, b = 3.059 Å, c = 7.128 Å
α = 90.00°, β = 99.90°, γ = 90.00°
Atoms (fractional coordinates):
Tl  0.000  0.000  0.000
Tl  0.500  0.500  0.000
Re  0.257  0.500  0.302
Re  0.495  0.000  0.424
Re  0.757  0.000  0.302
Re  0.995  0.500  0.424
As  0.233  0.000  0.612
As  0.733  0.500  0.612


9.
DFT (GGA-PBE) results for a relaxed TlReAs2 crystal.

Computed properties:
Formation energy from the elements (eV/atom): 0.446
Density of states at the Fermi level (states/eV per cell): 1.32
DFT total energy (eV/atom): -5.5826
Space-group type: P4mm (99)
Excess energy over the best structure of this formula in the dataset (eV per atom): 0.381

a = 3.279 Å, b = 3.279 Å, c = 7.783 Å
α = 90.00°, β = 90.00°, γ = 90.00°
Atoms (fractional coordinates):
Tl  0.000  0.000  0.000
Re  0.500  0.500  0.699
As  0.000  0.000  0.571
As  0.500  0.500  0.360


10.
DFT (GGA-PBE) results for a relaxed TlRe2As crystal.

Computed properties:
Formation energy from the elements (eV/atom): 0.773
Density of states at the Fermi level (states/eV per cell): 3.44
DFT total energy (eV/atom): -7.2049
Space-group type: P4/mmm (123)
Excess energy over the best structure of this formula in the dataset (eV per atom): 0.445

a = 3.127 Å, b = 3.127 Å, c = 6.949 Å
α = 90.00°, β = 90.00°, γ = 90.00°
Atoms (fractional coordinates):
Tl  0.000  0.000  0.000
Re  0.500  0.500  0.302
Re  0.500  0.500  0.698
As  0.000  0.000  0.500


11.
DFT (GGA-PBE) results for a relaxed Tl2ReAs crystal.

Computed properties:
Formation energy from the elements (eV/atom): 1.032
Density of states at the Fermi level (states/eV per cell): 4.85
DFT total energy (eV/atom): -4.4252
Space-group type: C2/m (12)
Excess energy over the best structure of this formula in the dataset (eV per atom): 0.715

a = 6.700 Å, b = 9.668 Å, c = 2.944 Å
α = 90.00°, β = 115.87°, γ = 90.00°
Atoms (fractional coordinates):
Tl  0.250  0.250  0.000
Tl  0.250  0.750  0.000
Tl  0.750  0.250  0.000
Tl  0.750  0.750  0.000
Re  0.000  0.000  0.000
Re  0.500  0.500  0.000
As  0.000  0.500  0.000
As  0.500  0.000  0.000


12.
DFT (GGA-PBE) results for a relaxed TlRe2As crystal.

Computed properties:
Formation energy from the elements (eV/atom): 0.737
Density of states at the Fermi level (states/eV per cell): 4.62
DFT total energy (eV/atom): -7.2410
Space-group type: C2/m (12)
Excess energy over the best structure of this formula in the dataset (eV per atom): 0.409

a = 8.323 Å, b = 3.052 Å, c = 5.844 Å
α = 90.00°, β = 104.02°, γ = 90.00°
Atoms (fractional coordinates):
Tl  0.000  0.000  0.000
Tl  0.500  0.500  0.000
Re  0.237  0.000  0.684
Re  0.263  0.500  0.316
Re  0.737  0.500  0.684
Re  0.763  0.000  0.316
As  0.000  0.500  0.500
As  0.500  0.000  0.500


13.
DFT (GGA-PBE) results for a relaxed TlReAs2 crystal.

Computed properties:
Formation energy from the elements (eV/atom): 0.383
Density of states at the Fermi level (states/eV per cell): 5.53
DFT total energy (eV/atom): -5.6451
Space-group type: Cmmm (65)
Excess energy over the best structure of this formula in the dataset (eV per atom): 0.319

a = 3.141 Å, b = 5.275 Å, c = 10.172 Å
α = 90.00°, β = 90.00°, γ = 90.00°
Atoms (fractional coordinates):
Tl  0.000  0.000  0.000
Tl  0.500  0.500  0.000
Re  0.000  0.000  0.500
Re  0.500  0.500  0.500
As  0.000  0.500  0.305
As  0.000  0.500  0.695
As  0.500  0.000  0.305
As  0.500  0.000  0.695


14.
DFT (GGA-PBE) results for a relaxed TlRe2As crystal.

Computed properties:
Formation energy from the elements (eV/atom): 1.021
Density of states at the Fermi level (states/eV per cell): 3.27
DFT total energy (eV/atom): -6.9574
Space-group type: P4/mmm (123)
Excess energy over the best structure of this formula in the dataset (eV per atom): 0.692

a = 4.539 Å, b = 4.539 Å, c = 3.233 Å
α = 90.00°, β = 90.00°, γ = 90.00°
Atoms (fractional coordinates):
Tl  0.000  0.000  0.000
Re  0.000  0.500  0.500
Re  0.500  0.000  0.500
As  0.500  0.500  0.000


15.
DFT (GGA-PBE) results for a relaxed TlRe2As crystal.

Computed properties:
Formation energy from the elements (eV/atom): 0.730
Density of states at the Fermi level (states/eV per cell): 10.64
DFT total energy (eV/atom): -7.2482
Space-group type: R-3m (166)
Excess energy over the best structure of this formula in the dataset (eV per atom): 0.402

a = 2.984 Å, b = 2.984 Å, c = 26.554 Å
α = 90.00°, β = 90.00°, γ = 120.00°
Atoms (fractional coordinates):
Tl  0.000  0.000  0.000
Tl  0.333  0.667  0.667
Tl  0.667  0.333  0.333
Re  0.000  0.000  0.238
Re  0.000  0.000  0.762
Re  0.333  0.667  0.428
Re  0.333  0.667  0.905
Re  0.667  0.333  0.095
Re  0.667  0.333  0.572
As  0.000  0.000  0.500
As  0.333  0.667  0.167
As  0.667  0.333  0.833